1.
{"formula": "K2ScFe", "functional": "PBE-GGA", "state": "relaxed", "cell": [[8.895, 0.000, 0.000], [0.000, 3.269, 0.000], [-2.297, 0.000, 10.283]], "species": ["K", "K", "K", "K", "Sc", "Sc", "Fe", "Fe"], "frac_coords": [[0.000, 0.000, 0.000], [0.153, 0.000, 0.596], [0.500, 0.500, 0.000], [0.653, 0.500, 0.596], [0.341, 0.000, 0.298], [0.841, 0.500, 0.298], [0.115, 0.500, 0.298], [0.615, 0.000, 0.298]], "ef_ev_per_atom": 0.6279, "polymorph_energy_ev_per_fu": 0.49, "n_ef_per_ev_cell": 8.20, "spacegroup": "Cm, No. 8"}

2.
{"formula": "K2ScFe", "functional": "PBE-GGA", "state": "relaxed", "cell": [[7.990, 0.000, 0.000], [0.000, 7.990, 0.000], [0.000, 0.000, 7.990]], "species": ["K", "K", "K", "K", "K", "K", "K", "K", "Sc", "Sc", "Sc", "Sc", "Fe", "Fe", "Fe", "Fe"], "frac_coords": [[0.250, 0.250, 0.250], [0.250, 0.250, 0.750], [0.250, 0.750, 0.250], [0.250, 0.750, 0.750], [0.750, 0.250, 0.250], [0.750, 0.250, 0.750], [0.750, 0.750, 0.250], [0.750, 0.750, 0.750], [0.000, 0.000, 0.000], [0.000, 0.500, 0.500], [0.500, 0.000, 0.500], [0.500, 0.500, 0.000], [0.000, 0.000, 0.500], [0.000, 0.500, 0.000], [0.500, 0.000, 0.000], [0.500, 0.500, 0.500]], "ef_ev_per_atom": 1.6357, "polymorph_energy_ev_per_fu": 4.52, "n_ef_per_ev_cell": 150.53, "spacegroup": "Fm-3m, No. 225"}